# Tb3HoCd4

A geometry-optimized Tb3HoCd4 structure (GGA-PBE, Alexandria).

It has space group P4/mmm (No. 123), with a = 5.2853 Å, b = 5.2853 Å, c = 7.5621 Å, α = 90.00°, β = 90.00° and γ = 90.00°. Symmetry generates all atoms from Tb at (0.0000, 0.0000, 0.0000), Tb at (0.0000, 0.0000, 0.5000), Tb at (0.5000, 0.5000, 0.0000), Ho at (0.5000, 0.5000, 0.5000) and Cd at (0.0000, 0.5000, 0.2519).

The calculated total energy is -3.086 eV per atom. The calculation puts the density of states at the Fermi level at 1.1883 states/eV per atom. The value obtained for the energy of formation from the pure elements is -0.32 eV per atom.